1.
Here is NaGaI2 after structural relaxation from Alexandria via LeMat-Bulk. Energies are from GGA-PBE.

**Relative energy among the computed polymorphs**: 0.00 kJ per mole of atoms
**Electronic total energy**: -31.844 eV per cell
**Theoretical density**: 4008 kg/m3
**Crystal system**: trigonal

Cell lengths 4.6517, 4.6517, 22.9869 Å; angles 90.00, 90.00, 120.00 degrees
Space group R-3m (No. 166, hexagonal axes)
Unique sites:
Na 0.0000 0.0000 0.0000
Ga 0.0000 0.0000 0.5000
I 0.0000 0.0000 0.2526


2.
Here is Ac5Ag2Ru2 after structural relaxation from Alexandria via LeMat-Bulk. Energies are from GGA-PBE.

**Relative energy among the computed polymorphs**: 0.00 kJ per mole of atoms
**Electronic total energy**: -186.392 eV per cell
**Theoretical density**: 9233 kg/m3
**Crystal system**: orthorhombic

Cell lengths 16.2717, 8.3309, 8.2413 Å; angles 90.00, 90.00, 90.00 degrees
Space group Cmce (No. 64)
Unique sites:
Ac 0.0000 0.0000 0.0000
Ac 0.1221 0.1647 0.3380
Ag 0.2090 0.0000 0.0000
Ru 0.0000 0.1400 0.6391


3.
Here is NiHgPt after structural relaxation from Alexandria via LeMat-Bulk. Energies are from GGA-PBE.

**Relative energy among the computed polymorphs**: 11.28 kJ per mole of atoms
**Electronic total energy**: -46.037 eV per cell
**Theoretical density**: 14664 kg/m3
**Crystal system**: monoclinic

Cell lengths 8.9756, 3.8272, 6.6685 Å; angles 90.00, 116.05, 90.00 degrees
Space group C2/m (No. 12)
Unique sites:
Ni 0.1258 0.0000 0.1714
Hg 0.1518 0.0000 0.7859
Pt 0.1219 0.5000 0.4233


4.
Here is InCu2Te after structural relaxation from Alexandria via LeMat-Bulk. Energies are from GGA-PBE.

**Relative energy among the computed polymorphs**: 17.23 kJ per mole of atoms
**Electronic total energy**: -52.562 eV per cell
**Theoretical density**: 5761 kg/m3
**Crystal system**: tetragonal

Cell lengths 6.1480, 6.1480, 11.2704 Å; angles 90.00, 90.00, 90.00 degrees
Space group I-42d (No. 122)
Unique sites:
In 0.0000 0.0000 0.0000
Cu 0.2252 0.2500 0.6250
Te 0.0000 0.0000 0.5000


5.
Here is Cu2TcGe2 after structural relaxation from Alexandria via LeMat-Bulk. Energies are from GGA-PBE.

**Relative energy among the computed polymorphs**: 1.48 kJ per mole of atoms
**Electronic total energy**: -53.808 eV per cell
**Theoretical density**: 8370 kg/m3
**Crystal system**: tetragonal

Cell lengths 3.2711, 3.2711, 13.7345 Å; angles 90.00, 90.00, 90.00 degrees
Space group I4/mmm (No. 139)
Unique sites:
Cu 0.0000 0.5000 0.2500
Tc 0.0000 0.0000 0.0000
Ge 0.0000 0.0000 0.3989


6.
Here is SrScMo after structural relaxation from Alexandria via LeMat-Bulk. Energies are from GGA-PBE.

**Relative energy among the computed polymorphs**: 21.75 kJ per mole of atoms
**Electronic total energy**: -16.355 eV per cell
**Theoretical density**: 5504 kg/m3
**Crystal system**: trigonal

Cell lengths 5.2748, 5.2748, 2.8612 Å; angles 90.00, 90.00, 120.00 degrees
Space group P3m1 (No. 156)
Unique sites:
Sr 0.0000 0.0000 0.0000
Sc 0.3333 0.6667 0.9957
Mo 0.6667 0.3333 0.4981


7.
Here is Ca8P3Br3N after structural relaxation from Alexandria via LeMat-Bulk. Energies are from GGA-PBE.

**Electronic total energy**: -196.597 eV per cell
**Theoretical density**: 2678 kg/m3
**Crystal system**: trigonal

Cell lengths 8.2429, 8.2429, 21.0981 Å; angles 90.00, 90.00, 120.00 degrees
Space group R-3m (No. 166, hexagonal axes)
Unique sites:
Ca 0.0000 0.0000 0.2347
Ca 0.0267 0.5134 0.2303
P 0.0000 0.5000 0.5000
Br 0.0000 0.5000 0.0000
N 0.0000 0.0000 0.5000


8.
Here is Y2BiB after structural relaxation from Alexandria via LeMat-Bulk. Energies are from GGA-PBE.

**Relative energy among the computed polymorphs**: 29.76 kJ per mole of atoms
**Electronic total energy**: -90.945 eV per cell
**Theoretical density**: 6884 kg/m3
**Crystal system**: cubic

Cell lengths 7.2660, 7.2660, 7.2660 Å; angles 90.00, 90.00, 90.00 degrees
Space group Fm-3m (No. 225)
Unique sites:
Y 0.2500 0.2500 0.2500
Bi 0.0000 0.0000 0.0000
B 0.0000 0.0000 0.5000